A plane-wave DFT calculation with PBE+U was carried out for LiMnOs2O after structural relaxation.

```
LiMnOs2O
1.0
-1.352 -1.719 -3.386
-0.774 -3.667 2.170
-3.728 1.283 0.838
Mn Os O Li
1 2 1 1
direct
0.000 0.500 0.000
0.000 0.000 0.500
0.500 0.000 0.000
0.000 0.000 0.000
0.500 0.500 0.500
```

Results
**Energy**: -34.30 eV/cell
**DOS(E_F)**: 4.7 states/eV per cell
**Spin magnetization**: 3.73 μB/f.u.